(1)
The following is a PBE calculation of a relaxed structure of HgGePd5, from Alexandria via LeMat-Bulk.

abc: 11.7051 6.7196 7.7945
angles: 90.00 126.76 90.00
With the nearest neighbours (Å) after each atom.
Space group C2/c (No. 15)
Inequivalent atoms, fractional coordinates:
Hg: 0.2500 0.2500 0.0000 (multiplicity 4)  10 Pd 2.79-3.07
Ge: 0.0000 0.0956 0.2500 (multiplicity 4)  7 Pd 2.42-2.52
Pd: 0.0000 0.4555 0.2500 (multiplicity 4)  1 Ge 2.42
Pd: 0.0119 0.2030 0.5698 (multiplicity 8)  2 Ge 2.50-2.52, 2 Pd 2.74-2.79, 1 Hg 2.79
Pd: 0.2418 0.1281 0.3453 (multiplicity 8)  1 Ge 2.47

Values from the calculation:
Formation enthalpy at 0 K in eV/f.u.: -1.00
Total DFT energy (no corrections) in eV per atom: -4.555

(2)
The following is a PBE calculation of a relaxed structure of SrSiSb, from Alexandria via LeMat-Bulk.

abc: 4.7639 4.7639 4.5035
angles: 90.00 90.00 120.00
With the nearest neighbours (Å) after each atom.
Space group P-6m2 (No. 187)
Inequivalent atoms, fractional coordinates:
Sr: 0.0000 0.0000 0.0000 (multiplicity 1)  6 Sb 3.55, 6 Si 3.55
Si: 0.3333 0.6667 0.5000 (multiplicity 1)  3 Sb 2.75
Sb: 0.6667 0.3333 0.5000 (multiplicity 1)  3 Si 2.75

Values from the calculation:
Uncorrected formation energy in meV per atom: -336
Total DFT energy (no corrections) in eV per atom: -4.079

(3)
The following is a PBE calculation of a relaxed structure of Na4HoPd3O8, from Alexandria via LeMat-Bulk.

abc: 12.0897 6.2069 6.4695
angles: 90.00 122.12 90.00
With the nearest neighbours (Å) after each atom.
Space group C2/m (No. 12)
Inequivalent atoms, fractional coordinates:
Na: 0.0000 0.0000 0.0000 (multiplicity 2)  4 O 2.43
Na: 0.0000 0.5000 0.0000 (multiplicity 2)  4 O 2.30
Na: 0.2500 0.2500 0.0000 (multiplicity 4)  6 O 2.33-2.53
Ho: 0.0000 0.0000 0.5000 (multiplicity 2)  6 O 2.22-2.34
Pd: 0.0000 0.5000 0.5000 (multiplicity 2)  6 O 2.08
Pd: 0.2500 0.2500 0.5000 (multiplicity 4)  4 O 2.07-2.08
O: 0.0236 0.2656 0.7504 (multiplicity 8)  1 Pd 2.08, 1 Ho 2.22, 2 Na 2.30-2.33
O: 0.2012 0.5000 0.6516 (multiplicity 4)  3 Pd 2.08
O: 0.2271 0.0000 0.6852 (multiplicity 4)  2 Pd 2.07

Values from the calculation:
Uncorrected formation energy in meV per atom: -1319
Total DFT energy (no corrections) in eV per atom: -5.388

(4)
The following is a PBE calculation of a relaxed structure of Mg2FePb, from Alexandria via LeMat-Bulk.

abc: 3.1777 3.1777 29.1551
angles: 90.00 90.00 120.00
With the nearest neighbours (Å) after each atom.
Space group R-3m (No. 166, hexagonal axes)
Inequivalent atoms, fractional coordinates:
Mg: 0.0000 0.0000 0.2375 (multiplicity 6)  3 Fe 2.76
Fe: 0.0000 0.0000 0.5000 (multiplicity 3)  6 Mg 2.76
Pb: 0.0000 0.0000 0.0000 (multiplicity 3)  6 Pb 3.18, 6 Mg 3.34

Values from the calculation:
Formation enthalpy at 0 K in eV/f.u.: 1.06
Total DFT energy (no corrections) in eV per atom: -3.575